one:
DFT (PBE) results for NdErGaIr after structural relaxation.

Unit cell a=4.1033 b=4.2246 c=5.7994 alpha=90.00 beta=110.72 gamma=90.00
Last column: nearest neighbours and their distance in Å.
Element x y z (fractional)
1 Nd 0.1466 0.0000 0.2932  3 Ir 3.01-3.17, 4 Ga 3.07
2 Ir 0.4240 0.0000 0.8480  2 Ga 2.61
3 Ga 0.5656 0.5000 0.1312  2 Ir 2.61
4 Er 0.8638 0.5000 0.7277  3 Ga 3.00-3.24, 4 Ir 3.02

Output
The space group is Amm2, No. 38.


two:
DFT (PBE) results for NdErGaIr after structural relaxation.

Unit cell a=5.0224 b=5.0224 c=5.0224 alpha=60.00 beta=60.00 gamma=60.00
Last column: nearest neighbours and their distance in Å.
Element x y z (fractional)
1 Nd 0.2500 0.2500 0.2500  4 Ir 3.08, 4 Ga 3.08
2 Ir 0.0000 0.0000 0.0000  4 Er 3.08, 4 Nd 3.08
3 Ga 0.5000 0.5000 0.5000  4 Er 3.08, 4 Nd 3.08
4 Er 0.7500 0.7500 0.7500  4 Ir 3.08, 4 Ga 3.08

Output
The space group is F-43m, No. 216.


Pick one: it beats the second-best structure by 96 meV/atom.


one:
DFT (PBE) results for ErGaIrRh after structural relaxation.

Unit cell a=3.5605 b=4.2674 c=4.3785 alpha=90.00 beta=90.00 gamma=90.00
Last column: nearest neighbours and their distance in Å.
Element x y z (fractional)
1 Rh 0.5000 0.5000 0.0000  4 Er 2.78, 4 Ga 2.82, 4 Ir 3.06
2 Er 0.0000 0.0000 0.0000  4 Rh 2.78, 4 Ir 2.82, 4 Ga 3.06
3 Ga 0.0000 0.5000 0.5000  4 Ir 2.78, 4 Rh 2.82, 4 Er 3.06
4 Ir 0.5000 0.0000 0.5000  4 Ga 2.78, 4 Er 2.82, 4 Rh 3.06

Output
The space group is Pmmm, No. 47.


two:
DFT (PBE) results for ErGaIrRh after structural relaxation.

Unit cell a=4.5552 b=4.5552 c=4.5552 alpha=60.00 beta=60.00 gamma=60.00
Last column: nearest neighbours and their distance in Å.
Element x y z (fractional)
1 Rh 0.5000 0.5000 0.5000  4 Ga 2.79, 4 Er 2.79
2 Er 0.7500 0.7500 0.7500  4 Ir 2.79, 4 Rh 2.79
3 Ga 0.2500 0.2500 0.2500  4 Ir 2.79, 4 Rh 2.79
4 Ir 0.0000 0.0000 0.0000  4 Er 2.79, 4 Ga 2.79

Output
The space group is F-43m, No. 216.


Pick one: it beats the second-best structure by 15 meV/atom.